First-principles (PBE) data for a relaxed KLi2Be crystal, as listed in Alexandria.

a b c (Å): 5.4322 5.4322 9.4665
angles (deg): 73.33 73.33 90.00
Closest atoms and distances in Å follow each position.
Positions (direct):
K 0.0000 0.0000 0.0000  8 Li 3.71-3.74, 4 Be 3.84
K 0.7500 0.2500 0.5000  8 Li 3.71-3.74, 4 Be 3.84
Li 0.3708 0.6250 0.2500  2 Be 2.55, 2 Li 2.72
Li 0.3792 0.1250 0.2500  2 Be 2.55, 2 Li 2.72
Li 0.8750 0.6292 0.7500  2 Be 2.55, 2 Li 2.72
Li 0.3750 0.6208 0.7500  2 Be 2.55, 2 Li 2.72
Be 0.2500 0.7500 0.5000  4 Li 2.55
Be 0.5000 0.5000 0.0000  4 Li 2.55

Results
Space-group type: I-42d
Magnetization, Bohr magnetons per cell: 0.0
Energy of formation from the pure elements, kJ/mol of atoms: 60
Energy, eV for the cell shown: -12.4
D(E_F), states/eV/atom: 0.5718